# 1
SrAlGe2W after structural relaxation, computed with GGA-PBEsol.

**Space group**: P4/mmm

a = 4.896 Å, b = 4.896 Å, c = 5.570 Å
α = 90.00°, β = 90.00°, γ = 90.00°
Fractional coordinates of all 5 atoms:
Sr (0.000, 0.000, 0.000)
Al (0.500, 0.500, 0.000)
Ge (0.000, 0.500, 0.500)
Ge (0.500, 0.000, 0.500)
W (0.000, 0.000, 0.500)

---

# 2
TaAlGe after structural relaxation, computed with GGA-PBEsol.

**Space group**: Fdd2

a = 6.152 Å, b = 4.935 Å, c = 5.117 Å
α = 75.44°, β = 50.94°, γ = 53.62°
Fractional coordinates of all 6 atoms:
Ta (0.000, 0.000, 0.000)
Ta (0.250, 0.250, 0.250)
Al (0.338, 0.338, 0.662)
Al (0.588, 0.588, 0.912)
Ge (0.668, 0.668, 0.332)
Ge (0.918, 0.918, 0.582)

---

Number 1: volume 133.5 Å³ per cell, calculated formation energy 700 meV/atom. Number 2: volume 95.2 Å³ per cell, calculated formation energy -328 meV/atom.